(1)
A plane-wave DFT calculation with PBE was carried out for crystalline LaTb2Sm at its relaxed geometry.

abc: 5.771 5.771 5.771
angles: 60.00 60.00 60.00
Positions (direct):
Tb  0.250  0.250  0.250
Tb  0.750  0.750  0.750
Sm  0.000  0.000  0.000
La  0.500  0.500  0.500

## Properties
- formation enthalpy at 0 K (meV per atom) = 119
- distance to the lowest polymorph of the same formula (eV per atom) = 0.106
- M_tot (μB/cell) = 0.000

***

(2)
A plane-wave DFT calculation with PBE was carried out for crystalline Nd6Cd5Ga at its relaxed geometry.

abc: 5.389 7.698 8.549
angles: 90.00 71.63 90.00
Positions (direct):
Nd  0.839  0.756  0.322
Nd  0.839  0.244  0.322
Nd  0.500  0.238  0.000
Nd  0.500  0.762  0.000
Nd  0.161  0.756  0.678
Nd  0.161  0.244  0.678
Ga  0.000  0.000  0.000
Cd  0.669  0.500  0.661
Cd  0.327  0.000  0.346
Cd  0.000  0.500  0.000
Cd  0.673  0.000  0.654
Cd  0.331  0.500  0.339

## Properties
- formation enthalpy at 0 K (meV per atom) = -355
- M_tot (μB/cell) = 0.000

***

(3)
A plane-wave DFT calculation with PBE was carried out for crystalline Na5B7C3 at its relaxed geometry.

abc: 7.634 7.837 8.603
angles: 90.00 90.00 142.77
Positions (direct):
Na  0.196  0.795  0.000
Na  0.196  0.795  0.500
Na  0.402  0.602  0.002
Na  0.402  0.602  0.498
Na  0.004  0.005  0.000
Na  0.004  0.005  0.500
Na  0.600  0.400  0.000
Na  0.600  0.400  0.500
Na  0.798  0.198  0.998
Na  0.798  0.198  0.502
B  0.138  0.537  0.250
B  0.455  0.845  0.750
B  0.684  0.690  0.250
B  0.323  0.330  0.250
B  0.666  0.680  0.750
B  0.949  0.737  0.750
B  0.251  0.063  0.250
B  0.922  0.697  0.250
B  0.278  0.103  0.750
B  0.516  0.110  0.750
B  0.534  0.120  0.250
B  0.877  0.470  0.750
B  0.745  0.955  0.250
B  0.062  0.263  0.750
C  0.126  0.514  0.750
C  0.469  0.872  0.250
C  0.339  0.345  0.750
C  0.861  0.455  0.250
C  0.731  0.928  0.750
C  0.074  0.286  0.250

## Properties
- formation enthalpy at 0 K (meV per atom) = 138
- distance to the lowest polymorph of the same formula (eV per atom) = 0.025
- M_tot (μB/cell) = 0.000

***

(4)
A plane-wave DFT calculation with PBE was carried out for crystalline Tl2AgOs at its relaxed geometry.

abc: 4.892 4.892 4.892
angles: 60.00 60.00 60.00
Last column: magnetic moment on the atom in μB.
Positions (direct):
Tl  0.000  0.000  0.000  0.00
Tl  0.250  0.250  0.250  0.02
Os  0.750  0.750  0.750  0.66
Ag  0.500  0.500  0.500  0.02

## Properties
- formation enthalpy at 0 K (meV per atom) = 1031
- distance to the lowest polymorph of the same formula (eV per atom) = 0.384
- M_tot (μB/cell) = 0.769

***

(5)
A plane-wave DFT calculation with PBE was carried out for crystalline BaHoP2Se8 at its relaxed geometry.

abc: 6.321 6.321 9.629
angles: 90.00 90.00 120.00
Positions (direct):
Ba  0.000  0.000  0.000
Ho  0.000  0.000  0.500
P  0.667  0.333  0.247
P  0.333  0.667  0.753
Se  0.333  0.667  0.982
Se  0.339  0.363  0.310
Se  0.637  0.976  0.310
Se  0.667  0.333  0.018
Se  0.363  0.024  0.690
Se  0.661  0.637  0.690
Se  0.976  0.339  0.690
Se  0.024  0.661  0.310

## Properties
- E_form (uncorrected) (kJ/mol of formula units) = -807
- M_tot (μB/cell) = 0.000

***

(6)
A plane-wave DFT calculation with PBE was carried out for crystalline AcCd2Rh at its relaxed geometry.

abc: 3.529 3.529 7.685
angles: 90.00 90.00 90.00
Positions (direct):
Ac  0.500  0.500  0.500
Rh  0.500  0.500  0.000
Cd  0.000  0.000  0.814
Cd  0.000  0.000  0.186

## Properties
- formation enthalpy at 0 K (meV per atom) = -121
- distance to the lowest polymorph of the same formula (eV per atom) = 0.341
- M_tot (μB/cell) = 0.000

***

(7)
A plane-wave DFT calculation with PBE was carried out for crystalline SeN at its relaxed geometry.

abc: 7.287 7.287 7.287
angles: 90.00 90.00 90.00
Positions (direct):
Se  0.318  0.318  0.318
Se  0.318  0.682  0.682
Se  0.682  0.318  0.682
Se  0.682  0.682  0.318
Se  0.818  0.818  0.818
Se  0.818  0.182  0.182
Se  0.182  0.818  0.182
Se  0.182  0.182  0.818
N  0.185  0.185  0.185
N  0.185  0.815  0.815
N  0.815  0.185  0.815
N  0.815  0.815  0.185
N  0.685  0.685  0.685
N  0.685  0.315  0.315
N  0.315  0.685  0.315
N  0.315  0.315  0.685

## Properties
- E_form (uncorrected) (kJ/mol of formula units) = 244
- M_tot (μB/cell) = 0.000

***

(8)
A plane-wave DFT calculation with PBE was carried out for crystalline Na2MgTiS4 at its relaxed geometry.

abc: 6.255 6.255 6.857
angles: 117.16 117.18 89.99
Positions (direct):
Na  0.486  0.986  0.972
Na  0.236  0.236  0.472
Mg  0.985  0.485  0.972
Ti  0.736  0.736  0.472
S  0.663  0.620  0.711
S  0.851  0.423  0.232
S  0.381  0.809  0.232
S  0.049  0.091  0.711

## Properties
- E_form (uncorrected) (kJ/mol of formula units) = -981
- M_tot (μB/cell) = 0.000

***

(9)
A plane-wave DFT calculation with PBE was carried out for crystalline CoSiH2 at its relaxed geometry.

abc: 3.476 3.476 3.476
angles: 60.00 60.00 60.00
Positions (direct):
H  0.250  0.250  0.250
H  0.750  0.750  0.750
Si  0.000  0.000  0.000
Co  0.500  0.500  0.500

## Properties
- distance to the lowest polymorph of the same formula (eV per atom) = 0.297
- M_tot (μB/cell) = 0.000

***

(10)
A plane-wave DFT calculation with PBE was carried out for crystalline NaLa2SbMo at its relaxed geometry.

abc: 6.092 5.401 6.092
angles: 90.00 90.00 90.00
Last column: magnetic moment on the atom in μB.
Positions (direct):
Sb  0.000  0.000  0.000  0.02
Mo  0.500  0.500  0.500  3.53
Na  0.000  0.500  0.000  0.00
La  0.000  0.000  0.500  -0.04
La  0.500  0.000  0.000  -0.07

## Properties
- E_form (uncorrected) (kJ/mol of formula units) = 353
- M_tot (μB/cell) = 4.221

***

> Look up the M_tot of the seventh one.

0.000 μB/cell

***

> Which formula does entry 9 have?

CoSiH2

***

> Among the records above, which one has the highest M_tot?

NaLa2SbMo

***

> What is the M_tot in the third record?

0.000 μB/cell